Density functional theory data (PBE-GGA) for ZrTa2Hg after structural relaxation.

```
4
Lattice="5.457 0.001 0.000 2.288 4.954 0.000 -3.872 -2.477 2.940" Properties=species:S:1:pos:R:3 pbc="T T T"
Hg 2.728 0.000 1.470
Ta 0.000 0.000 0.000
Ta 3.872 2.477 0.000
Zr 1.144 2.477 1.470
```

## Properties
total magnetic moment = 0.000 Bohr magnetons per cell
E_form = 0.18 eV/atom

=====

Density functional theory data (PBE-GGA) for Sn2Ge2S7 after structural relaxation.

```
11
Lattice="-1.098 -3.022 -4.988 0.549 -5.614 4.329 -6.634 2.305 1.112" Properties=species:S:1:pos:R:3 pbc="T T T"
Sn -4.442 -0.112 2.094
Sn -1.644 -3.197 3.347
S -6.646 -3.457 -0.384
S -0.537 -2.874 0.837
S -4.157 -6.201 0.731
S -3.305 -3.596 -1.472
S -3.026 -0.130 -0.278
S -3.878 -2.736 1.925
S -0.549 -1.511 -2.494
Ge -1.874 -2.006 -0.755
Ge -5.309 -4.325 1.207
```

## Properties
uncorrected formation energy = -0.14 eV per atom
total magnetic moment = 0.000 Bohr magnetons per cell